Record 1
Ga2Ni2Rh: optimized geometry, PBE-GGA.

Properties
Uncorrected energy in eV per atom: -5.309
ΔH_f (0 K) in eV/atom: -0.315
DOS(E_F) in states/eV/f.u.: 3.79
SG: P4/mbm (127)

a = 6.817 Å, b = 6.817 Å, c = 2.812 Å
α = 90.00°, β = 90.00°, γ = 90.00°
Fractional positions:
1 Rh 0.000 0.000 0.000
2 Rh 0.500 0.500 0.000
3 Ni 0.146 0.646 0.500
4 Ni 0.646 0.854 0.500
5 Ni 0.354 0.146 0.500
6 Ni 0.854 0.354 0.500
7 Ga 0.849 0.651 0.000
8 Ga 0.651 0.151 0.000
9 Ga 0.151 0.349 0.000
10 Ga 0.349 0.849 0.000

=====

Record 2
GaNiRh3: optimized geometry, PBE-GGA.

Properties
Uncorrected energy in eV per atom: -5.264
ΔH_f (0 K) in eV/atom: 0.908
DOS(E_F) in states/eV/f.u.: 8.02
SG: Pm-3m (221)

a = 4.471 Å, b = 4.471 Å, c = 4.471 Å
α = 90.00°, β = 90.00°, γ = 90.00°
Fractional positions:
1 Rh 0.000 0.000 0.500
2 Rh 0.000 0.500 0.000
3 Rh 0.500 0.000 0.000
4 Ga 0.500 0.500 0.500
5 Ni 0.000 0.000 0.000

=====

Record 3
GaNi4Rh: optimized geometry, PBE-GGA.

Properties
Uncorrected energy in eV per atom: -5.692
ΔH_f (0 K) in eV/atom: -0.108
DOS(E_F) in states/eV/f.u.: 8.14
SG: Imma (74)

a = 4.411 Å, b = 4.191 Å, c = 8.434 Å
α = 104.39°, β = 105.16°, γ = 90.00°
Fractional positions:
1 Ni 0.591 0.165 0.829
2 Ni 0.409 0.835 0.171
3 Ni 0.972 0.915 0.330
4 Ni 0.762 0.335 0.171
5 Ni 0.238 0.665 0.829
6 Ni 0.642 0.585 0.670
7 Ni 0.358 0.415 0.330
8 Ni 0.028 0.085 0.670
9 Rh 0.813 0.750 0.000
10 Rh 0.187 0.250 0.000
11 Ga 0.500 0.000 0.500
12 Ga 0.000 0.500 0.500

=====

Record 4
Ga5NiRh4: optimized geometry, PBE-GGA.

Properties
Uncorrected energy in eV per atom: -5.644
ΔH_f (0 K) in eV/atom: -0.611
DOS(E_F) in states/eV/f.u.: 5.13
SG: P4/mmm (123)

a = 3.016 Å, b = 3.016 Å, c = 15.140 Å
α = 90.00°, β = 90.00°, γ = 90.00°
Fractional positions:
1 Ga 0.500 0.500 0.500
2 Ga 0.500 0.500 0.704
3 Ga 0.500 0.500 0.296
4 Ga 0.500 0.500 0.092
5 Ga 0.500 0.500 0.908
6 Rh 0.000 0.000 0.399
7 Rh 0.000 0.000 0.601
8 Rh 0.000 0.000 0.805
9 Rh 0.000 0.000 0.195
10 Ni 0.000 0.000 0.000

=====

Record 5
GaNi3Rh4: optimized geometry, PBE-GGA.

Properties
Uncorrected energy in eV per atom: -6.046
ΔH_f (0 K) in eV/atom: 0.176
DOS(E_F) in states/eV/f.u.: 13.76
SG: C2/m (12)

a = 2.653 Å, b = 4.124 Å, c = 11.957 Å
α = 61.48°, β = 96.37°, γ = 90.00°
Fractional positions:
1 Ga 0.500 0.000 0.000
2 Ni 0.213 0.908 0.426
3 Ni 0.000 0.500 0.000
4 Ni 0.787 0.092 0.574
5 Rh 0.671 0.531 0.342
6 Rh 0.329 0.469 0.658
7 Rh 0.602 0.222 0.205
8 Rh 0.398 0.778 0.795

=====

Record 6
Ga2NiRh: optimized geometry, PBE-GGA.

Properties
Uncorrected energy in eV per atom: -4.863
ΔH_f (0 K) in eV/atom: -0.067
DOS(E_F) in states/eV/f.u.: 2.56
SG: I-42d (122)

a = 3.840 Å, b = 3.840 Å, c = 8.767 Å
α = 77.35°, β = 77.35°, γ = 90.00°
Fractional positions:
1 Ga 0.136 0.625 0.250
2 Ga 0.375 0.386 0.750
3 Ga 0.875 0.864 0.750
4 Ga 0.614 0.125 0.250
5 Ni 0.500 0.500 0.000
6 Ni 0.250 0.750 0.500
7 Rh 0.000 0.000 0.000
8 Rh 0.750 0.250 0.500

=====

Record 7
Ga2NiRh3: optimized geometry, PBE-GGA.

Properties
Uncorrected energy in eV per atom: -6.080
ΔH_f (0 K) in eV/atom: -0.432
DOS(E_F) in states/eV/f.u.: 4.81
SG: P4/mmm (123)

a = 3.027 Å, b = 3.027 Å, c = 8.935 Å
α = 90.00°, β = 90.00°, γ = 90.00°
Fractional positions:
1 Rh 0.000 0.000 0.336
2 Rh 0.000 0.000 0.664
3 Rh 0.000 0.000 0.000
4 Ga 0.500 0.500 0.174
5 Ga 0.500 0.500 0.826
6 Ni 0.500 0.500 0.500

=====

Record 8
Ga6Ni8Rh: optimized geometry, PBE-GGA.

Properties
Uncorrected energy in eV per atom: -4.989
ΔH_f (0 K) in eV/atom: -0.204
DOS(E_F) in states/eV/f.u.: 9.64
SG: R-3 (148)

a = 6.941 Å, b = 6.941 Å, c = 6.344 Å
α = 56.84°, β = 56.84°, γ = 60.00°
Fractional positions:
1 Ga 0.399 0.068 0.811
2 Ga 0.722 0.399 0.811
3 Ga 0.601 0.932 0.189
4 Ga 0.068 0.722 0.811
5 Ga 0.932 0.278 0.189
6 Ga 0.278 0.601 0.189
7 Ni 0.780 0.106 0.670
8 Ni 0.555 0.220 0.330
9 Ni 0.106 0.445 0.670
10 Ni 0.894 0.555 0.330
11 Ni 0.670 0.670 0.989
12 Ni 0.220 0.894 0.330
13 Ni 0.445 0.780 0.670
14 Ni 0.330 0.330 0.011
15 Rh 0.000 0.000 0.000

=====

Record 9
Ga3Ni12Rh: optimized geometry, PBE-GGA.

Properties
Uncorrected energy in eV per atom: -5.573
ΔH_f (0 K) in eV/atom: -0.210
DOS(E_F) in states/eV/f.u.: 17.29
SG: P4/mmm (123)

a = 3.603 Å, b = 3.603 Å, c = 14.259 Å
α = 90.00°, β = 90.00°, γ = 90.00°
Fractional positions:
1 Ni 0.000 0.500 0.127
2 Ni 0.000 0.500 0.625
3 Ni 0.500 0.500 0.500
4 Ni 0.500 0.500 0.750
5 Ni 0.500 0.000 0.127
6 Ni 0.500 0.500 0.250
7 Ni 0.500 0.000 0.625
8 Ni 0.500 0.500 0.000
9 Ni 0.500 0.000 0.873
10 Ni 0.000 0.500 0.873
11 Ni 0.000 0.500 0.375
12 Ni 0.500 0.000 0.375
13 Rh 0.000 0.000 0.000
14 Ga 0.000 0.000 0.500
15 Ga 0.000 0.000 0.253
16 Ga 0.000 0.000 0.747

=====

Record 10
GaNiRuRh: optimized geometry, PBE-GGA.

Properties
Uncorrected energy in eV per atom: -6.541
ΔH_f (0 K) in eV/atom: -0.182
DOS(E_F) in states/eV/f.u.: 3.97
SG: F-43m (216)

a = 4.227 Å, b = 4.227 Å, c = 4.227 Å
α = 60.00°, β = 60.00°, γ = 60.00°
Fractional positions:
1 Ga 0.000 0.000 0.000
2 Rh 0.250 0.250 0.250
3 Ru 0.750 0.750 0.750
4 Ni 0.500 0.500 0.500

=====

Record 11
Sc4GaNiRh2: optimized geometry, PBE-GGA.

Properties
Uncorrected energy in eV per atom: -6.865
ΔH_f (0 K) in eV/atom: -0.760
DOS(E_F) in states/eV/f.u.: 5.09
SG: R-3m (166)

a = 4.598 Å, b = 4.598 Å, c = 8.011 Å
α = 73.32°, β = 73.32°, γ = 60.00°
Fractional positions:
1 Rh 0.750 0.750 0.749
2 Rh 0.250 0.250 0.251
3 Ni 0.500 0.500 0.500
4 Sc 0.128 0.128 0.615
5 Sc 0.872 0.872 0.385
6 Sc 0.379 0.379 0.862
7 Sc 0.621 0.621 0.138
8 Ga 0.000 0.000 0.000

=====

Record 12
ScGa4NiRh2: optimized geometry, PBE-GGA.

Properties
Uncorrected energy in eV per atom: -5.424
ΔH_f (0 K) in eV/atom: -0.559
DOS(E_F) in states/eV/f.u.: 4.07
SG: R-3m (166)

a = 4.361 Å, b = 4.361 Å, c = 7.631 Å
α = 73.39°, β = 73.39°, γ = 60.00°
Fractional positions:
1 Ga 0.867 0.867 0.400
2 Ga 0.385 0.385 0.844
3 Ga 0.133 0.133 0.600
4 Ga 0.615 0.615 0.156
5 Rh 0.255 0.255 0.236
6 Rh 0.745 0.745 0.764
7 Ni 0.500 0.500 0.500
8 Sc 0.000 0.000 0.000

=====

Record 13
Sc4GaNi2Rh: optimized geometry, PBE-GGA.

Properties
Uncorrected energy in eV per atom: -6.559
ΔH_f (0 K) in eV/atom: -0.651
DOS(E_F) in states/eV/f.u.: 5.97
SG: R-3m (166)

a = 4.577 Å, b = 4.577 Å, c = 7.962 Å
α = 73.29°, β = 73.29°, γ = 60.00°
Fractional positions:
1 Ni 0.252 0.252 0.244
2 Ni 0.748 0.748 0.756
3 Rh 0.500 0.500 0.500
4 Sc 0.873 0.873 0.382
5 Sc 0.378 0.378 0.865
6 Sc 0.622 0.622 0.135
7 Sc 0.127 0.127 0.618
8 Ga 0.000 0.000 0.000

=====

Record 14
GaSiNiRh2: optimized geometry, PBE-GGA.

Properties
Uncorrected energy in eV per atom: -5.682
DOS(E_F) in states/eV/f.u.: 4.12
Formation energy (no corrections) in eV per atom: 0.11
SG: P4/mmm (123)

a = 4.394 Å, b = 4.182 Å, c = 4.394 Å
α = 90.00°, β = 90.00°, γ = 90.00°
Fractional positions:
1 Rh 0.000 0.000 0.500
2 Rh 0.500 0.000 0.000
3 Ni 0.000 0.500 0.000
4 Ga 0.500 0.500 0.500
5 Si 0.000 0.000 0.000

=====

Record 15
GaSiNiRh2: optimized geometry, PBE-GGA.

Properties
Uncorrected energy in eV per atom: -5.000
DOS(E_F) in states/eV/f.u.: 5.44
Formation energy (no corrections) in eV per atom: 0.79
SG: P4/mmm (123)

a = 4.539 Å, b = 4.245 Å, c = 4.539 Å
α = 90.00°, β = 90.00°, γ = 90.00°
Fractional positions:
1 Ga 0.000 0.500 0.000
2 Rh 0.000 0.000 0.500
3 Rh 0.500 0.000 0.000
4 Ni 0.000 0.000 0.000
5 Si 0.500 0.500 0.500

=====

Record 16
SmGa4NiRh2: optimized geometry, PBE-GGA.

Properties
Uncorrected energy in eV per atom: -5.283
ΔH_f (0 K) in eV/atom: -0.619
DOS(E_F) in states/eV/f.u.: 5.06
SG: R-3m (166)

a = 4.226 Å, b = 4.226 Å, c = 8.986 Å
α = 76.40°, β = 76.40°, γ = 60.00°
Fractional positions:
1 Ga 0.598 0.598 0.207
2 Ga 0.868 0.868 0.397
3 Ga 0.132 0.132 0.603
4 Ga 0.402 0.402 0.793
5 Rh 0.231 0.231 0.306
6 Rh 0.769 0.769 0.694
7 Sm 0.000 0.000 0.000
8 Ni 0.500 0.500 0.500

=====

Record 17
Sm2Ga4NiRh3: optimized geometry, PBE-GGA.

Properties
Uncorrected energy in eV per atom: -5.668
ΔH_f (0 K) in eV/atom: -0.730
DOS(E_F) in states/eV/f.u.: 5.06
SG: P-4m2 (115)

a = 4.200 Å, b = 4.200 Å, c = 10.322 Å
α = 90.00°, β = 90.00°, γ = 90.00°
Fractional positions:
1 Ni 0.500 0.500 0.500
2 Ga 0.500 0.500 0.000
3 Ga 0.000 0.500 0.376
4 Ga 0.500 0.000 0.624
5 Ga 0.000 0.000 0.000
6 Sm 0.000 0.500 0.742
7 Sm 0.500 0.000 0.258
8 Rh 0.500 0.000 0.865
9 Rh 0.000 0.000 0.500
10 Rh 0.000 0.500 0.135

=====

Record 18
SmGaNiRh: optimized geometry, PBE-GGA.

Properties
Uncorrected energy in eV per atom: -5.613
ΔH_f (0 K) in eV/atom: -0.393
DOS(E_F) in states/eV/f.u.: 2.24
SG: Amm2 (38)

a = 4.394 Å, b = 3.318 Å, c = 5.125 Å
α = 108.89°, β = 90.00°, γ = 90.00°
Fractional positions:
1 Ga 0.000 0.596 0.192
2 Ni 0.500 0.502 0.005
3 Rh 0.000 0.889 0.778
4 Sm 0.500 0.241 0.482

=====

Record 19
SmGaNiRh: optimized geometry, PBE-GGA.

Properties
Uncorrected energy in eV per atom: -5.698
ΔH_f (0 K) in eV/atom: -0.479
DOS(E_F) in states/eV/f.u.: 3.40
SG: F-43m (216)

a = 4.594 Å, b = 4.594 Å, c = 4.594 Å
α = 60.00°, β = 60.00°, γ = 60.00°
Fractional positions:
1 Sm 0.000 0.000 0.000
2 Rh 0.250 0.250 0.250
3 Ga 0.500 0.500 0.500
4 Ni 0.750 0.750 0.750

=====

Record 20
Sm2Ga3Ni12Rh: optimized geometry, PBE-GGA.

Properties
Uncorrected energy in eV per atom: -5.274
ΔH_f (0 K) in eV/atom: 0.018
DOS(E_F) in states/eV/f.u.: 20.97
SG: R-3m (166)

a = 9.388 Å, b = 9.388 Å, c = 9.388 Å
α = 37.42°, β = 37.42°, γ = 37.42°
Fractional positions:
1 Ni 0.929 0.358 0.929
2 Ni 0.071 0.071 0.642
3 Ni 0.418 0.810 0.418
4 Ni 0.582 0.190 0.582
5 Ni 0.358 0.929 0.929
6 Ni 0.642 0.071 0.071
7 Ni 0.418 0.418 0.810
8 Ni 0.582 0.582 0.190
9 Ni 0.190 0.582 0.582
10 Ni 0.071 0.642 0.071
11 Ni 0.810 0.418 0.418
12 Ni 0.929 0.929 0.358
13 Ga 0.000 0.500 0.000
14 Ga 0.000 0.000 0.500
15 Ga 0.500 0.000 0.000
16 Sm 0.650 0.650 0.650
17 Sm 0.350 0.350 0.350
18 Rh 0.000 0.000 0.000

=====

Record 21
Sm2Ga3Ni4Rh: optimized geometry, PBE-GGA.

Properties
Uncorrected energy in eV per atom: -5.422
ΔH_f (0 K) in eV/atom: -0.522
DOS(E_F) in states/eV/f.u.: 7.92
SG: P-4m2 (115)

a = 3.924 Å, b = 3.924 Å, c = 10.793 Å
α = 90.00°, β = 90.00°, γ = 90.00°
Fractional positions:
1 Ga 0.000 0.500 0.129
2 Ga 0.000 0.000 0.500
3 Ga 0.500 0.000 0.871
4 Sm 0.000 0.500 0.742
5 Sm 0.500 0.000 0.258
6 Ni 0.000 0.500 0.353
7 Ni 0.500 0.500 0.000
8 Ni 0.000 0.000 0.000
9 Ni 0.500 0.000 0.647
10 Rh 0.500 0.500 0.500

=====

Record 22
Sm2GaNi5Rh2: optimized geometry, PBE-GGA.

Properties
Uncorrected energy in eV per atom: -5.873
ΔH_f (0 K) in eV/atom: -0.266
DOS(E_F) in states/eV/f.u.: 9.81
SG: P4/mbm (127)

a = 3.737 Å, b = 9.225 Å, c = 9.225 Å
α = 90.00°, β = 90.00°, γ = 90.00°
Fractional positions:
1 Rh 0.000 0.130 0.630
2 Rh 0.000 0.870 0.370
3 Rh 0.000 0.630 0.870
4 Rh 0.000 0.370 0.130
5 Ni 0.500 0.057 0.812
6 Ni 0.500 0.312 0.557
7 Ni 0.500 0.812 0.943
8 Ni 0.500 0.688 0.443
9 Ni 0.500 0.188 0.057
10 Ni 0.500 0.943 0.188
11 Ni 0.500 0.443 0.312
12 Ni 0.500 0.000 0.500
13 Ni 0.500 0.557 0.688
14 Ni 0.500 0.500 0.000
15 Ga 0.000 0.500 0.500
16 Ga 0.000 0.000 0.000
17 Sm 0.000 0.170 0.330
18 Sm 0.000 0.830 0.670
19 Sm 0.000 0.330 0.830
20 Sm 0.000 0.670 0.170

=====

Record 23
Sm2GaNi2Rh5: optimized geometry, PBE-GGA.

Properties
Uncorrected energy in eV per atom: -6.565
ΔH_f (0 K) in eV/atom: -0.486
DOS(E_F) in states/eV/f.u.: 8.55
SG: P4/mbm (127)

a = 3.812 Å, b = 9.286 Å, c = 9.286 Å
α = 90.00°, β = 90.00°, γ = 90.00°
Fractional positions:
1 Rh 0.500 0.934 0.204
2 Rh 0.500 0.204 0.066
3 Rh 0.500 0.704 0.434
4 Rh 0.500 0.566 0.704
5 Rh 0.500 0.500 0.000
6 Rh 0.500 0.434 0.296
7 Rh 0.500 0.296 0.566
8 Rh 0.500 0.066 0.796
9 Rh 0.500 0.000 0.500
10 Rh 0.500 0.796 0.934
11 Ni 0.000 0.124 0.624
12 Ni 0.000 0.876 0.376
13 Ni 0.000 0.624 0.876
14 Ni 0.000 0.376 0.124
15 Sm 0.000 0.175 0.325
16 Sm 0.000 0.825 0.675
17 Sm 0.000 0.325 0.825
18 Sm 0.000 0.675 0.175
19 Ga 0.000 0.000 0.000
20 Ga 0.000 0.500 0.500